Entry from Alexandria: a geometry-optimized VInPb2O6 structure (PBE+U).

abc: 5.8076 5.7148 8.0048
angles: 90.00 91.35 90.00
Last column: nearest neighbours and their distance in Å.
Sites, in units of the cell vectors:
V: 0.5000 0.0000 0.5000  6 O 1.89-1.94
V: 0.0000 0.5000 0.0000  6 O 1.89-1.94
In: 0.5000 0.0000 0.0000  6 O 2.19
In: 0.0000 0.5000 0.5000  6 O 2.19
Pb: 0.0177 0.9947 0.2469  5 O 2.54-2.62
Pb: 0.5177 0.5053 0.7469  5 O 2.54-2.62
Pb: 0.9823 0.0053 0.7531  5 O 2.54-2.62
Pb: 0.4823 0.4947 0.2531  5 O 2.54-2.62
O: 0.2369 0.7329 0.0432  1 V 1.94
O: 0.7369 0.7671 0.5432  1 V 1.94
O: 0.7631 0.2671 0.9568  1 V 1.94
O: 0.2631 0.2329 0.4568  1 V 1.94
O: 0.2739 0.7559 0.4569  1 V 1.94
O: 0.7739 0.7441 0.9569  1 V 1.94
O: 0.7261 0.2441 0.5431  1 V 1.94
O: 0.2261 0.2559 0.0431  1 V 1.94
O: 0.9322 0.5024 0.2295  1 V 1.89
O: 0.4322 0.9976 0.7295  1 V 1.89
O: 0.0678 0.4976 0.7705  1 V 1.89
O: 0.5678 0.0024 0.2705  1 V 1.89

## Properties
The calculation puts the uncorrected energy at -123.71 eV per cell.